Record 1
Material: CsCeTiS4
Method: DFT, PBE-GGA
State: optimized geometry

Uncorrected formation energy ... -1.5945 eV per atom
Symmetry ... P2_1/m (11)
Size of the total moment ... 1.00 μB per formula unit
Raw total energy ... -6.051 eV per atom

```
14
Lattice="6.8358 0.0000 0.0000 0.0000 6.8224 0.0000 -2.9762 0.0000 9.1060" Properties=species:S:1:pos:R:3 pbc="T T T"
Cs 0.2429 1.7056 3.9823
Cs 3.6167 5.1168 5.1237
Ce -0.9364 1.7056 8.6662
Ce 4.7959 5.1168 0.4398
Ti 1.3872 5.1168 1.4864
Ti 2.4724 1.7056 7.6196
S -2.3176 5.1168 8.4852
S -0.4380 5.1168 2.8180
S 1.0138 3.4378 7.3412
S 1.0138 6.7958 7.3412
S 2.8457 0.0266 1.7648
S 2.8457 3.3846 1.7648
S 4.2975 1.7056 6.2880
S 6.1772 1.7056 0.6208
```



Record 2
Material: Cs3Ce2TlS6
Method: DFT, PBE-GGA
State: optimized geometry

Uncorrected formation energy ... -1.4275 eV per atom
Symmetry ... C2/m (12)
Size of the total moment ... 0.28 μB per formula unit
Raw total energy ... -4.891 eV per atom

```
12
Lattice="10.0545 -2.1368 0.0000 10.0545 2.1368 0.0000 -2.8102 0.0000 9.0746" Properties=species:S:1:pos:R:3 pbc="T T T"
Cs 0.0000 0.0000 0.0000
Cs 5.1428 0.0000 5.9999
Cs 12.1560 0.0000 3.0747
Ce 6.1638 0.0000 1.4986
Ce 11.1350 0.0000 7.5760
Tl -1.4051 0.0000 4.5373
S 1.6714 0.0000 5.9025
S 3.5576 0.0000 0.3672
S 8.6484 0.0000 2.2165
S 8.6504 0.0000 6.8580
S 13.7412 0.0000 8.7074
S 15.6274 0.0000 3.1721
```



Record 3
Material: Cs2Ce3TlS8
Method: DFT, PBE-GGA
State: optimized geometry

Uncorrected formation energy ... -1.4477 eV per atom
Symmetry ... R3m (160)
Size of the total moment ... 0.33 μB per formula unit
Raw total energy ... -5.369 eV per atom

```
14
Lattice="4.1618 2.4028 8.5016 -4.1618 2.4028 8.5016 0.0000 -4.8057 8.5016" Properties=species:S:1:pos:R:3 pbc="T T T"
Cs 0.0000 0.0000 0.0000
Cs 0.0000 0.0000 8.9554
Ce 0.0000 -2.3899 13.2893
Ce -2.0697 1.1949 13.2893
Ce 2.0697 1.1949 13.2893
Tl 0.0000 0.0000 21.3622
S 0.0000 -2.2669 6.1644
S -1.9632 1.1334 6.1644
S 0.0000 0.0000 3.4158
S -1.8634 -1.0758 11.7804
S 1.9632 1.1334 6.1644
S 0.0000 0.0000 14.6792
S 1.8634 -1.0758 11.7804
S 0.0000 2.1517 11.7804
```



Record 4
Material: Cs3Ce2TmS6
Method: DFT, PBE-GGA
State: optimized geometry

Uncorrected formation energy ... -1.7688 eV per atom
Symmetry ... C2/m (12)
Size of the total moment ... 2.01 μB per formula unit
Raw total energy ... -5.408 eV per atom

```
12
Lattice="3.6402 -6.3046 0.0000 3.6402 6.3046 0.0000 -2.4275 0.0000 8.0529" Properties=species:S:1:pos:R:3 pbc="T T T"
Cs 0.0000 0.0000 0.0000
Cs 3.6402 2.1134 0.0000
Cs 3.6402 -2.1134 0.0000
Ce 2.4265 4.2038 4.0264
Ce 2.4265 -4.2038 4.0264
Tm 2.4265 0.0000 4.0264
S 1.2543 2.0298 2.5557
S 0.0825 0.0000 5.5021
S 1.2543 -2.0298 2.5557
S 3.5987 2.0298 5.4972
S 4.7705 0.0000 2.5507
S 3.5987 -2.0298 5.4972
```



Record 5
Material: Cs2Ce2US6
Method: DFT, PBE-GGA
State: optimized geometry

Uncorrected formation energy ... -1.6895 eV per atom
Symmetry ... C2/m (12)
Size of the total moment ... 4.00 μB per formula unit
Raw total energy ... -6.201 eV per atom

```
11
Lattice="3.6028 -6.2101 0.0000 3.6028 6.2101 0.0000 -2.4286 0.0000 8.2258" Properties=species:S:1:pos:R:3 pbc="T T T"
Cs 3.6028 4.1123 0.0000
Cs 3.6028 -4.1123 0.0000
Ce 2.3885 2.0596 4.1129
Ce 2.3885 -2.0596 4.1129
U -1.2143 0.0000 4.1129
S -0.0571 2.0165 5.5673
S 1.0903 0.0000 2.6542
S -0.0571 -2.0165 5.5673
S 4.8340 2.0165 2.6585
S 3.6866 0.0000 5.5716
S 4.8340 -2.0165 2.6585
```



Record 6
Material: Cs3Ce2US6
Method: DFT, PBE-GGA
State: optimized geometry

Uncorrected formation energy ... -1.6075 eV per atom
Symmetry ... C2/m (12)
Size of the total moment ... 5.01 μB per formula unit
Raw total energy ... -5.814 eV per atom

```
12
Lattice="3.6438 -6.3108 0.0000 3.6438 6.3108 0.0000 -2.4289 0.0000 8.0906" Properties=species:S:1:pos:R:3 pbc="T T T"
Cs 0.0000 0.0000 0.0000
Cs 3.6438 2.1283 0.0000
Cs 3.6438 -2.1283 0.0000
Ce 2.4293 4.2094 4.0453
Ce 2.4293 -4.2094 4.0453
U 2.4293 0.0000 4.0453
S 1.2463 2.0490 2.5595
S 0.0644 0.0000 5.5386
S 1.2463 -2.0490 2.5595
S 3.6123 2.0490 5.5312
S 4.7942 0.0000 2.5521
S 3.6123 -2.0490 5.5312
```



Record 7
Material: Cs4CeU3S12
Method: DFT, PBE-GGA
State: optimized geometry

Uncorrected formation energy ... -1.4018 eV per atom
Symmetry ... Im-3m (229)
Size of the total moment ... 2.11 μB per formula unit
Raw total energy ... -6.039 eV per atom

```
20
Lattice="-5.2816 5.2816 5.2816 5.2816 -5.2816 5.2816 5.2816 5.2816 -5.2816" Properties=species:S:1:pos:R:3 pbc="T T T"
Cs 2.6408 2.6408 -2.6408
Cs 2.6408 -2.6408 2.6408
Cs -2.6408 2.6408 2.6408
Cs 2.6408 2.6408 2.6408
Ce 0.0000 0.0000 0.0000
U 5.2816 0.0000 0.0000
U 0.0000 5.2816 0.0000
U 0.0000 0.0000 5.2816
S 2.7372 0.0000 0.0000
S 7.8259 0.0000 0.0000
S 5.2816 2.6408 0.0000
S 5.2816 0.0000 2.6408
S 0.0000 2.7372 0.0000
S 0.0000 0.0000 2.7372
S 2.6408 5.2816 0.0000
S 2.6408 0.0000 5.2816
S 0.0000 7.8259 0.0000
S 0.0000 0.0000 7.8259
S 0.0000 5.2816 2.6408
S 0.0000 2.6408 5.2816
```



Record 8
Material: CsCe2US8
Method: DFT, PBE-GGA
State: optimized geometry

Uncorrected formation energy ... -1.4124 eV per atom
Symmetry ... P-1 (2)
Size of the total moment ... 1.12 μB per formula unit
Raw total energy ... -6.165 eV per atom

```
12
Lattice="6.5160 0.0000 0.0000 1.5051 6.7714 0.0000 3.0167 -0.0260 8.0701" Properties=species:S:1:pos:R:3 pbc="T T T"
Cs 0.0000 0.0000 0.0000
Ce 3.8621 2.9908 2.6673
Ce 7.1757 3.7547 5.4027
U 1.5084 -0.0130 4.0350
S 2.7886 1.9496 5.0919
S 4.7817 4.8846 4.5819
S 2.8634 0.5235 1.9934
S 6.0038 3.4586 7.9446
S 5.0340 3.2868 0.1255
S 8.1744 6.2220 6.0767
S 6.2561 1.8609 3.4881
S 8.2492 4.7959 2.9782
```



Record 9
Material: Cs2Ce2VS6
Method: DFT, PBE-GGA
State: optimized geometry

Uncorrected formation energy ... -1.5081 eV per atom
Symmetry ... C2/m (12)
Size of the total moment ... 3.03 μB per formula unit
Raw total energy ... -5.822 eV per atom

```
11
Lattice="3.4355 -5.8696 0.0000 3.4355 5.8696 0.0000 -2.3258 0.0000 8.2278" Properties=species:S:1:pos:R:3 pbc="T T T"
Cs 3.4355 3.8806 0.0000
Cs 3.4355 -3.8806 0.0000
Ce 2.2726 1.9581 4.1139
Ce 2.2726 -1.9581 4.1139
V -1.1629 0.0000 4.1139
S -0.0983 1.8049 5.5465
S 0.9239 0.0000 2.6957
S -0.0983 -1.8049 5.5465
S 4.6435 1.8049 2.6813
S 3.6213 0.0000 5.5321
S 4.6435 -1.8049 2.6813
```



Record 10
Material: Cs4CeY3S8
Method: DFT, PBE-GGA
State: optimized geometry

Uncorrected formation energy ... -1.8123 eV per atom
Symmetry ... R-3m (166)
Size of the total moment ... 0.96 μB per formula unit
Raw total energy ... -5.672 eV per atom

```
16
Lattice="4.1533 2.3979 8.0601 -4.1533 2.3979 8.0601 0.0000 -4.7958 8.0601" Properties=species:S:1:pos:R:3 pbc="T T T"
Cs 0.0000 0.0000 0.0000
Cs -2.0766 -1.1990 8.0601
Cs -2.0766 1.1989 16.1202
Cs 0.0000 2.3979 8.0601
Ce 0.0000 0.0000 12.0901
Y -4.1533 0.0000 12.0901
Y -2.0766 1.1989 4.0300
Y 2.0766 1.1990 4.0300
S -2.1189 -1.2234 13.5641
S 0.0000 0.0000 5.4925
S 0.0000 -2.4467 10.6162
S -2.1189 1.2234 10.6162
S 2.1189 -1.2234 13.5641
S 0.0000 2.4467 13.5641
S 0.0000 0.0000 18.6878
S 2.1189 1.2234 10.6162
```



Record 11
Material: Cs3CeY2S6
Method: DFT, PBE-GGA
State: optimized geometry

Uncorrected formation energy ... -1.8051 eV per atom
Symmetry ... C2/m (12)
Size of the total moment ... 0.99 μB per formula unit
Raw total energy ... -5.654 eV per atom

```
12
Lattice="3.6090 -6.2508 0.0000 3.6090 6.2508 0.0000 -2.4064 0.0000 8.0608" Properties=species:S:1:pos:R:3 pbc="T T T"
Cs 0.0000 0.0000 0.0000
Cs 3.6090 2.0773 0.0000
Cs 3.6090 -2.0773 0.0000
Ce 2.4057 0.0000 4.0304
Y 2.4057 4.1670 4.0304
Y 2.4057 -4.1670 4.0304
S 1.1753 2.1313 2.5572
S -0.0551 0.0000 5.5013
S 1.1753 -2.1313 2.5572
S 3.6361 2.1313 5.5036
S 4.8666 0.0000 2.5595
S 3.6361 -2.1313 5.5036
```



Record 12
Material: CsCeY4S8
Method: DFT, PBE-GGA
State: optimized geometry

Uncorrected formation energy ... -1.8456 eV per atom
Symmetry ... R3m (160)
Size of the total moment ... 1.01 μB per formula unit
Raw total energy ... -6.536 eV per atom

```
14
Lattice="4.1623 2.4031 6.9910 -4.1623 2.4031 6.9910 0.0000 -4.8062 6.9910" Properties=species:S:1:pos:R:3 pbc="T T T"
Cs 0.0000 0.0000 0.0000
Ce 0.0000 0.0000 7.6837
Y 0.0000 -2.4833 11.2999
Y -2.1506 1.2416 11.2999
Y 0.0000 0.0000 15.6359
Y 2.1506 1.2416 11.2999
S 0.0000 -2.0153 5.8172
S -1.7453 1.0076 5.8172
S -1.9945 -1.1515 9.6149
S 0.0000 0.0000 3.0112
S 1.7453 1.0076 5.8172
S 0.0000 0.0000 12.8851
S 1.9945 -1.1515 9.6148
S 0.0000 2.3031 9.6148
```